(1)
# NaScC2Cl | Alexandria | SCAN | single point on PBEsol structure
# uncorrected energy = -37.64 eV/cell
# formation energy (no corrections) = 1.80 eV/atom
data_NaScC2Cl
_space_group_name_H-M_alt 'P 4/m m m'
_space_group_IT_number 123
_space_group_name_Hall '-P 4 2'
_cell_length_a 4.1521
_cell_length_b 4.1521
_cell_length_c 4.5901
_cell_angle_alpha 90.00
_cell_angle_beta 90.00
_cell_angle_gamma 90.00
loop_
_atom_site_label
_atom_site_fract_x
_atom_site_fract_y
_atom_site_fract_z
Na1 0.0000 0.0000 0.0000
Sc1 0.5000 0.5000 0.5000
C1 0.0000 0.5000 0.0000
Cl1 0.0000 0.0000 0.5000

***

(2)
# Na2TiCCl | Alexandria | SCAN | single point on PBEsol structure
# uncorrected energy = -40.60 eV/cell
# formation energy (no corrections) = 0.39 eV/atom
data_Na2TiCCl
_space_group_name_H-M_alt 'P 4/m m m'
_space_group_IT_number 123
_space_group_name_Hall '-P 4 2'
_cell_length_a 5.9752
_cell_length_b 5.9752
_cell_length_c 3.7413
_cell_angle_alpha 90.00
_cell_angle_beta 90.00
_cell_angle_gamma 90.00
loop_
_atom_site_label
_atom_site_fract_x
_atom_site_fract_y
_atom_site_fract_z
Na1 0.0000 0.5000 0.0000
Ti1 0.0000 0.0000 0.0000
C1 0.0000 0.0000 0.5000
Cl1 0.5000 0.5000 0.5000

***

Copy entry 1 word for word.
# NaScC2Cl | Alexandria | SCAN | single point on PBEsol structure
# uncorrected energy = -37.64 eV/cell
# formation energy (no corrections) = 1.80 eV/atom
data_NaScC2Cl
_space_group_name_H-M_alt 'P 4/m m m'
_space_group_IT_number 123
_space_group_name_Hall '-P 4 2'
_cell_length_a 4.1521
_cell_length_b 4.1521
_cell_length_c 4.5901
_cell_angle_alpha 90.00
_cell_angle_beta 90.00
_cell_angle_gamma 90.00
loop_
_atom_site_label
_atom_site_fract_x
_atom_site_fract_y
_atom_site_fract_z
Na1 0.0000 0.0000 0.0000
Sc1 0.5000 0.5000 0.5000
C1 0.0000 0.5000 0.0000
Cl1 0.0000 0.0000 0.5000

***

Q: uncorrected energy of number 2 (Na2TiCCl)?
A: -40.60 eV/cell